DFT (PBE) results for a relaxed Ca2InIr crystal.

Unit cell a=3.4776 b=3.4776 c=8.5948 alpha=90.00 beta=90.00 gamma=90.00
Last column: nearest neighbours and their distance in Å.
Space group P4mm (No. 99)
Inequivalent atoms, fractional coordinates:
Ca1 0.0000 0.0000 0.0000 [1 per cell]  4 Ir 3.04, 1 In 3.16
Ca2 0.5000 0.5000 0.3796 [1 per cell]  4 In 3.28, 4 Ca 3.48, 1 Ir 3.54
In1 0.0000 0.0000 0.6329 [1 per cell]  4 Ir 2.81
Ir1 0.5000 0.5000 0.7918 [1 per cell]  4 In 2.81, 4 Ca 3.04

Values from the calculation:
uncorrected energy = -4.1118 eV/atom